Entry from Alexandria via LeMat-Bulk: crystalline Cr2IO2 at its relaxed geometry (PBE+U).

Lattice parameters (Å, degrees): 4.064 4.064 6.650 72.21 72.21 90.00
Fractional positions:
1 O 0.269 0.269 0.462
2 O 0.731 0.731 0.538
3 I 0.000 0.000 0.000
4 Cr 0.250 0.750 0.500
5 Cr 0.750 0.250 0.500

Uncorrected energy (eV per formula unit): -32.05
Polymorph energy (0 for the lowest one) (eV per atom): 0.0000
Total magnetization (Bohr magnetons per cell): 7.00
Crystal system: tetragonal
Density (g/cm³): 4.41